A.
DFT (PBEsol) results for a relaxed SrScW2 crystal.

Cell lengths 3.4180, 5.1022, 5.9343 Å; angles 115.46, 106.74, 90.00 degrees
Closest atoms and distances in Å follow each position.
Fractional positions:
Sr  0.2692  0.7692  0.5383  8 W 3.14-3.49, 4 Sc 3.31-3.40, 2 Sr 3.42
W  0.0351  0.0351  0.0702  2 W 2.43
W  0.7055  0.2055  0.4111  2 W 2.43
Sc  0.4902  0.4902  0.9804  8 W 3.10-3.36, 4 Sr 3.31-3.40, 2 Sc 3.42

Computed properties:
symmetry = No. 44


B.
DFT (PBEsol) results for a relaxed SrScW2 crystal.

Cell lengths 4.8081, 4.8081, 4.8081 Å; angles 60.00, 60.00, 60.00 degrees
Closest atoms and distances in Å follow each position.
Fractional positions:
W  0.7500  0.7500  0.7500  4 Sc 2.94, 4 W 2.94
W  0.0000  0.0000  0.0000  4 Sr 2.94, 4 W 2.94
Sc  0.5000  0.5000  0.5000  4 W 2.94, 4 Sr 2.94
Sr  0.2500  0.2500  0.2500  4 W 2.94, 4 Sc 2.94

Computed properties:
symmetry = No. 216


C.
DFT (PBEsol) results for a relaxed SrScW2 crystal.

Cell lengths 3.6530, 3.6530, 6.7943 Å; angles 90.00, 90.00, 90.00 degrees
Closest atoms and distances in Å follow each position.
Fractional positions:
Sc  0.5000  0.5000  0.0000  8 W 2.84
W  0.0000  0.0000  0.8280  1 W 2.34
W  0.0000  0.0000  0.1720  1 W 2.34
Sr  0.5000  0.5000  0.5000  2 Sc 3.40, 8 W 3.41, 4 Sr 3.65

Computed properties:
symmetry = No. 123


D.
DFT (PBEsol) results for a relaxed SrScW2 crystal.

Cell lengths 2.7734, 5.5624, 5.7857 Å; angles 118.73, 90.00, 90.00 degrees
Closest atoms and distances in Å follow each position.
Fractional positions:
W  0.0000  0.5000  0.5000  4 W 2.77-2.78
W  0.0000  0.0000  0.5000  4 W 2.77-2.78
Sr  0.5000  0.5000  0.0000  2 Sr 2.77, 2 Sc 2.78
Sc  0.5000  0.0000  0.0000  2 Sc 2.77, 2 Sr 2.78

Computed properties:
symmetry = No. 65


Which of them is least stable? Easy: D.


A.
DFT (PBEsol) results for a relaxed SrScZn3 crystal.

Cell lengths 5.1167, 5.1167, 5.1167 Å; angles 90.00, 90.00, 90.00 degrees
Closest atoms and distances in Å follow each position.
Fractional positions:
Zn  0.0000  0.0000  0.5000  2 Sc 2.56
Zn  0.0000  0.5000  0.0000  2 Sc 2.56
Zn  0.5000  0.0000  0.0000  2 Sc 2.56
Sr  0.5000  0.5000  0.5000  12 Zn 3.62
Sc  0.0000  0.0000  0.0000  6 Zn 2.56

Computed properties:
symmetry = No. 221


B.
DFT (PBEsol) results for a relaxed SrScZn3 crystal.

Cell lengths 5.2254, 5.2254, 5.2254 Å; angles 90.00, 90.00, 90.00 degrees
Closest atoms and distances in Å follow each position.
Fractional positions:
Sc  0.5000  0.5000  0.5000  12 Zn 3.69
Zn  0.0000  0.5000  0.0000  2 Sr 2.61
Zn  0.5000  0.0000  0.0000  2 Sr 2.61
Zn  0.0000  0.0000  0.5000  2 Sr 2.61
Sr  0.0000  0.0000  0.0000  6 Zn 2.61

Computed properties:
symmetry = No. 221


Which of them is least stable? Easy: B.


A.
DFT (PBEsol) results for a relaxed SrZr2Sc crystal.

Cell lengths 3.1899, 5.1408, 6.8254 Å; angles 90.00, 101.79, 90.00 degrees
Closest atoms and distances in Å follow each position.
Fractional positions:
Sr  0.0000  0.5000  0.5000  2 Sr 3.19, 2 Sc 3.46
Sc  0.5000  0.5000  0.0000  4 Zr 3.01, 2 Sc 3.19
Zr  0.7167  0.0000  0.8126  2 Zr 2.81-3.15, 2 Sc 3.01
Zr  0.2833  0.0000  0.1874  2 Zr 2.81-3.15, 2 Sc 3.01

Computed properties:
symmetry = No. 10


B.
DFT (PBEsol) results for a relaxed SrZr2Sc crystal.

Cell lengths 3.2814, 3.2814, 9.9456 Å; angles 90.00, 90.00, 89.90 degrees
Closest atoms and distances in Å follow each position.
Fractional positions:
Sc  0.0000  0.0000  0.5439  4 Zr 3.11, 4 Sc 3.28
Zr  0.5000  0.5000  0.7523  8 Zr 3.09-3.28, 4 Sc 3.11
Zr  0.0000  0.0000  0.9578  8 Zr 3.09-3.28
Sr  0.5000  0.5000  0.2460  4 Sr 3.28

Computed properties:
symmetry = No. 35


Which of them is least stable? Easy: A.